# 1
VASP calculation (PBE) on TbPm2PrEr4 after structural relaxation.

POSCAR file:
```
TbPm2PrEr4
1.0
-3.405 5.912 6.631
3.405 -5.912 6.631
3.405 5.912 -6.631
Tb Pm Pr Er
2 4 2 8
Direct
0.500 0.000 0.000
0.500 0.500 0.500
0.000 0.000 0.000
0.000 0.000 0.500
0.000 0.500 0.000
0.500 0.000 0.500
0.000 0.500 0.500
0.500 0.500 0.000
0.252 0.250 0.002
0.252 0.252 0.499
0.252 0.753 0.001
0.253 0.750 0.502
0.747 0.250 0.498
0.748 0.247 0.999
0.748 0.748 0.501
0.748 0.750 0.998
```

Calculated values
Crystal system: orthorhombic
DOS at the Fermi energy in states/eV per cell: 36.49
ΔH_f (0 K) in meV/atom: 419


# 2
VASP calculation (PBE) on TbPm2Pr2Er2 after structural relaxation.

POSCAR file:
```
TbPm2Pr2Er2
1.0
5.904 -1.778 0.000
5.904 1.778 0.000
-4.127 0.000 11.303
Tb Pm Pr Er
1 2 2 2
Direct
0.000 0.000 0.000
0.448 0.448 0.733
0.552 0.552 0.267
0.333 0.333 0.416
0.667 0.667 0.584
0.226 0.226 0.866
0.774 0.774 0.134
```

Calculated values
Crystal system: monoclinic
DOS at the Fermi energy in states/eV per cell: 11.02
ΔH_f (0 K) in meV/atom: 82


# 3
VASP calculation (PBE) on TbPmPr6Er2 after structural relaxation.

POSCAR file:
```
TbPmPr6Er2
1.0
4.671 -7.686 0.000
4.671 7.686 0.000
-1.373 0.000 9.686
Tb Pm Pr Er
2 2 12 4
Direct
0.029 0.971 0.750
0.971 0.029 0.250
0.408 0.592 0.250
0.592 0.408 0.750
0.012 0.565 0.685
0.110 0.761 0.055
0.239 0.890 0.445
0.296 0.510 0.881
0.435 0.988 0.815
0.490 0.704 0.619
0.510 0.296 0.381
0.565 0.012 0.185
0.704 0.490 0.119
0.761 0.110 0.555
0.890 0.239 0.945
0.988 0.435 0.315
0.197 0.292 0.547
0.292 0.197 0.047
0.708 0.803 0.953
0.803 0.708 0.453
```

Calculated values
Crystal system: monoclinic
DOS at the Fermi energy in states/eV per cell: 29.98
ΔH_f (0 K) in meV/atom: 113


# 4
VASP calculation (PBE) on Tb4Pm2Pr2Er after structural relaxation.

POSCAR file:
```
Tb4Pm2Pr2Er
1.0
9.447 -1.820 0.000
9.447 1.820 0.000
-4.199 0.000 8.726
Tb Pm Pr Er
4 2 2 1
Direct
0.019 0.019 0.331
0.315 0.315 0.665
0.685 0.685 0.335
0.981 0.981 0.669
0.353 0.353 0.337
0.647 0.647 0.663
0.165 0.165 0.000
0.835 0.835 0.000
0.500 0.500 0.000
```

Calculated values
Crystal system: monoclinic
DOS at the Fermi energy in states/eV per cell: 11.98
ΔH_f (0 K) in meV/atom: 6


# 5
VASP calculation (PBE) on TbPm5Pr2Er after structural relaxation.

POSCAR file:
```
TbPm5Pr2Er
1.0
-4.335 4.335 8.258
4.335 -4.335 8.258
4.335 4.335 -8.258
Tb Pm Pr Er
2 10 4 2
Direct
0.250 0.250 0.000
0.750 0.750 0.000
0.000 0.000 0.000
0.074 0.574 0.933
0.140 0.074 0.500
0.360 0.860 0.933
0.426 0.360 0.500
0.500 0.500 0.000
0.574 0.640 0.500
0.640 0.140 0.067
0.860 0.926 0.500
0.926 0.426 0.067
0.121 0.379 0.500
0.379 0.879 0.258
0.621 0.121 0.742
0.879 0.621 0.500
0.250 0.750 0.500
0.750 0.250 0.500
```

Calculated values
Crystal system: tetragonal
DOS at the Fermi energy in states/eV per cell: 26.89
ΔH_f (0 K) in meV/atom: 271


# 6
VASP calculation (PBE) on Tb2PmPrEr5 after structural relaxation.

POSCAR file:
```
Tb2PmPrEr5
1.0
-4.409 4.409 7.486
4.409 -4.409 7.486
4.409 4.409 -7.486
Tb Pm Pr Er
4 2 2 10
Direct
0.115 0.615 0.730
0.385 0.115 0.500
0.615 0.885 0.500
0.885 0.385 0.270
0.250 0.750 0.500
0.750 0.250 0.500
0.250 0.250 0.000
0.750 0.750 0.000
0.000 0.000 0.000
0.072 0.162 0.500
0.162 0.662 0.089
0.338 0.428 0.500
0.428 0.928 0.089
0.500 0.500 0.000
0.572 0.072 0.911
0.662 0.572 0.500
0.838 0.338 0.911
0.928 0.838 0.500
```

Calculated values
Crystal system: tetragonal
DOS at the Fermi energy in states/eV per cell: 21.01
ΔH_f (0 K) in meV/atom: 272


# 7
VASP calculation (PBE) on Tb2Pm6PrEr after structural relaxation.

POSCAR file:
```
Tb2Pm6PrEr
1.0
4.633 -7.650 0.000
4.633 7.650 0.000
-1.181 0.000 9.605
Tb Pm Pr Er
4 12 2 2
Direct
0.197 0.298 0.453
0.298 0.197 0.953
0.702 0.803 0.047
0.803 0.702 0.547
0.011 0.792 0.882
0.064 0.511 0.686
0.208 0.989 0.618
0.256 0.620 0.055
0.380 0.744 0.445
0.489 0.936 0.814
0.511 0.064 0.186
0.620 0.256 0.555
0.744 0.380 0.945
0.792 0.011 0.382
0.936 0.489 0.314
0.989 0.208 0.118
0.474 0.526 0.750
0.526 0.474 0.250
0.089 0.911 0.250
0.911 0.089 0.750
```

Calculated values
Crystal system: monoclinic
DOS at the Fermi energy in states/eV per cell: 27.95
ΔH_f (0 K) in meV/atom: 114


# 8
VASP calculation (PBE) on TbPm2Pr3Er6 after structural relaxation.

POSCAR file:
```
TbPm2Pr3Er6
1.0
3.115 -5.394 0.000
3.115 5.394 0.000
-2.070 0.000 11.591
Tb Pm Pr Er
1 2 3 6
Direct
0.000 0.000 0.000
0.334 0.666 0.000
0.666 0.334 0.000
0.167 0.833 0.500
0.500 0.500 0.500
0.833 0.167 0.500
0.083 0.416 0.248
0.250 0.250 0.752
0.416 0.083 0.248
0.584 0.917 0.752
0.750 0.750 0.248
0.917 0.584 0.752
```

Calculated values
Crystal system: monoclinic
DOS at the Fermi energy in states/eV per cell: 13.33
ΔH_f (0 K) in meV/atom: 16